Sm5NpN6 (PBE-GGA, relaxed); E_form (uncorrected) = -1.45 eV/atom; energy = -0.6363 Ry per atom; space-group type = C2/m, No. 12
1.0
-2.9206 -5.3918 -0.3436
-3.0314 -1.0348 5.2514
-5.8028 1.9318 0.6335
Sm N Np
5 6 1
direct
0.0000 0.6664 0.6671 Sm
0.5000 0.5000 0.0000 Sm
0.5000 0.8330 0.3340 Sm
0.0000 0.3336 0.3329 Sm
0.5000 0.1670 0.6660 Sm
0.7643 0.7694 0.0000 N
0.7648 0.3877 0.6906 N
0.7648 0.0783 0.3094 N
0.2357 0.2306 0.0000 N
0.2352 0.9217 0.6906 N
0.2352 0.6123 0.3094 N
0.0000 0.0000 0.0000 Np



SmNp2N4 (PBE-GGA, relaxed); E_form (uncorrected) = -1.21 eV/atom; energy = -0.7600 Ry per atom; space-group type = Cmcm, No. 63
1.0
-0.2498 2.0173 2.7517
-0.0694 -5.5858 1.9620
10.5176 0.1628 0.8355
N Np Sm
8 4 2
direct
0.2295 0.4590 0.8948 N
0.0408 0.0816 0.2500 N
0.2295 0.4590 0.6052 N
0.5000 0.0000 0.5000 N
0.7705 0.5410 0.3948 N
0.5000 0.0000 0.0000 N
0.9592 0.9184 0.7500 N
0.7705 0.5410 0.1052 N
0.1313 0.2626 0.0696 Np
0.1313 0.2626 0.4304 Np
0.8687 0.7374 0.9304 Np
0.8687 0.7374 0.5696 Np
0.3921 0.7842 0.2500 Sm
0.6079 0.2158 0.7500 Sm



Sm4NpN5 (PBE-GGA, relaxed); E_form (uncorrected) = -1.43 eV/atom; energy = -0.6453 Ry per atom; space-group type = I4/m, No. 87
1.0
-0.4927 4.5731 2.0349
-5.4056 0.9651 2.7380
1.8527 0.3677 5.8379
N Sm Np
5 4 1
direct
0.2778 0.8152 0.6315 N
0.0929 0.6315 0.1848 N
0.9093 0.3685 0.8152 N
0.7244 0.1848 0.3685 N
0.5007 0.0000 0.0000 N
0.6006 0.6011 0.1998 Sm
0.2017 0.1998 0.3989 Sm
0.4015 0.3989 0.8002 Sm
0.8004 0.8002 0.6011 Sm
0.0011 0.0000 0.0000 Np



Sm3Np4N12 (PBE-GGA, relaxed); E_form (uncorrected) = -0.97 eV/atom; energy = -0.7125 Ry per atom; space-group type = Im-3, No. 204
1.0
-4.3964 3.0225 -4.7862
0.3431 -7.0587 -1.1950
-2.4919 1.1849 6.6150
N Np Sm
12 4 3
direct
0.2243 0.2988 0.5231 N
0.7012 0.4769 0.7757 N
0.7757 0.2988 0.0744 N
0.2243 0.7012 0.9256 N
0.2988 0.5231 0.2243 N
0.9256 0.2243 0.7012 N
0.4769 0.7757 0.7012 N
0.0744 0.7757 0.2988 N
0.2988 0.0744 0.7757 N
0.7012 0.9256 0.2243 N
0.7757 0.7012 0.4769 N
0.5231 0.2243 0.2988 N
0.0000 0.0000 0.5000 Np
0.5000 0.5000 0.5000 Np
0.5000 0.0000 0.0000 Np
0.0000 0.5000 0.0000 Np
0.5000 0.0000 0.5000 Sm
0.5000 0.5000 0.0000 Sm
0.0000 0.5000 0.5000 Sm



Sm2Np2N7 (PBE-GGA, relaxed); E_form (uncorrected) = -0.81 eV/atom; energy = -0.6849 Ry per atom; space-group type = Cmmm, No. 65
1.0
-3.5699 -0.9876 4.0393
-2.4865 -3.5751 -3.0717
3.4395 -3.4230 2.2028
Np N Sm
2 7 2
direct
0.0000 0.2728 0.7272 Np
0.0000 0.7272 0.2728 Np
0.7697 0.0000 0.5000 N
0.0000 0.0000 0.0000 N
0.2303 0.0000 0.5000 N
0.7742 0.5000 0.5000 N
0.7697 0.5000 0.0000 N
0.2258 0.5000 0.5000 N
0.2303 0.5000 0.0000 N
0.5000 0.2543 0.2543 Sm
0.5000 0.7457 0.7457 Sm



Sm2NpN3 (PBE-GGA, relaxed); E_form (uncorrected) = -1.02 eV/atom; energy = -0.6548 Ry per atom; space-group type = C2/m, No. 12
1.0
-1.6264 -1.5285 2.6686
6.6120 -1.7532 0.7580
-1.3253 7.8315 3.6778
N Sm Np
6 4 2
direct
0.3209 0.6417 0.8695 N
0.3750 0.7499 0.4750 N
0.9732 0.9465 0.1881 N
0.6250 0.2501 0.5250 N
0.0268 0.0535 0.8119 N
0.6791 0.3583 0.1305 N
0.3323 0.6646 0.1666 Sm
0.8344 0.6688 0.6659 Sm
0.1656 0.3312 0.3341 Sm
0.6677 0.3354 0.8334 Sm
0.5000 0.0000 0.0000 Np
0.0000 0.0000 0.5000 Np



Number 1: total moment 0.2112 μB/atom. Number 2: total moment 0.7120 μB/atom. Number 3: total moment 0.2651 μB/atom. Number 4: total moment 0.0562 μB/atom. Number 5: total moment 0.0000 μB/atom. Number 6: total moment 0.5647 μB/atom.